Here is a geometry-optimized Tb2Pa2Tc3 structure from Alexandria via LeMat-Bulk. Energies are from PBE.

The value obtained for the theoretical density is 11.15 g/cm3. The energy of formation is -0.187 eV/atom. The calculated volume is 22.842 A^3/atom.

It has space group C2/m (No. 12), with a = 8.0283 Å, b = 4.5881 Å, c = 9.0649 Å, α = 90.00°, β = 106.72° and γ = 90.00°. The inequivalent atoms are Tb at (0.1270, 0.0000, 0.3809), Pa at (0.1208, 0.5000, 0.8619), Tc at (0.0000, 0.0000, 0.0000) and Tc at (0.2404, 0.5000, 0.2125).

=====

Here is a geometry-optimized InP2S2 structure from Alexandria via LeMat-Bulk. Energies are from PBE.

The value obtained for the theoretical density is 3.44 g/cm3. The value obtained for the total energy is -4.064 eV/atom. The calculated volume is 23.229 A^3/atom.

It has space group I4/mmm (No. 139), with a = 4.7492 Å, b = 4.7492 Å, c = 10.2992 Å, α = 90.00°, β = 90.00° and γ = 90.00°. The inequivalent atoms are In at (0.0000, 0.0000, 0.0000), P at (0.0000, 0.0000, 0.2906) and S at (0.0000, 0.5000, 0.2500).

=====

Here is a geometry-optimized Ba2ErOs3O12 structure from Alexandria via LeMat-Bulk. Energies are from PBE.

The value obtained for the theoretical density is 7.31 g/cm3. The value obtained for the total energy is -7.410 eV/atom. The calculated volume is 15.209 A^3/atom.

It has space group R-3m (No. 166, hexagonal axes), with a = 7.2971 Å, b = 7.2971 Å, c = 17.8104 Å, α = 90.00°, β = 90.00° and γ = 120.00°. The inequivalent atoms are Ba at (0.0000, 0.0000, 0.1374), Er at (0.0000, 0.0000, 0.5000), Os at (0.0000, 0.5000, 0.0000), O at (0.0105, 0.5052, 0.1098) and O at (0.0805, 0.5402, 0.3357).

=====

What is the theoretical density in the first record?
11.15 g/cm3

=====

Which of these has the highest calculated volume?
InP2S2

=====

Among the records above, which one has the highest calculated volume?
InP2S2